Record 1
Here is a relaxed Pm3Tm2PuSe6 crystal from the Alexandria database. Energies are from PBE.

Unit cell a=4.0880 b=8.3256 c=9.2545 alpha=103.61 beta=102.76 gamma=90.00
Last column: nearest neighbours and their distance in Å.
Fractional positions:
Tm 0.1637 0.3279 0.3274  6 Se 2.80-2.89
Se 0.3328 0.9054 0.6657  2 Tm 2.83, 1 Pu 2.93, 3 Pm 2.96-2.97
Se 0.6716 0.5740 0.3433  3 Tm 2.87-2.89, 3 Pm 3.01
Se 0.9961 0.7514 0.9922  1 Tm 2.80, 2 Pu 2.90, 3 Pm 2.94
Tm 0.8363 0.6721 0.6726  6 Se 2.80-2.89
Pu 0.5000 0.0000 0.0000  6 Se 2.90-2.93
Se 0.6672 0.0946 0.3343  2 Tm 2.83, 1 Pu 2.93, 3 Pm 2.96-2.97
Pm 0.5000 0.5000 0.0000  6 Se 2.94-3.01
Se 0.3284 0.4260 0.6567  3 Tm 2.87-2.89, 3 Pm 3.01
Se 0.0039 0.2486 0.0078  1 Tm 2.80, 2 Pu 2.90, 3 Pm 2.94
Pm 0.1638 0.8347 0.3277  6 Se 2.94-3.01
Pm 0.8362 0.1653 0.6723  6 Se 2.94-3.01

Results
DFT total energy, eV/atom: -6.618
Space group: No. 12
M_tot, μB/f.u.: 5.93
D(E_F), states/eV/atom: 0.74

***

Record 2
Here is a relaxed PmTm2Pu3Se6 crystal from the Alexandria database. Energies are from PBE.

Unit cell a=4.0984 b=8.2313 c=9.1917 alpha=102.64 beta=102.88 gamma=90.00
Last column: nearest neighbours and their distance in Å.
Fractional positions:
Tm 0.8335 0.6645 0.6671  6 Se 2.84-2.87
Tm 0.1665 0.3355 0.3329  6 Se 2.84-2.87
Pu 0.1643 0.8351 0.3285  6 Se 2.91-2.96
Se 0.3304 0.4209 0.6608  3 Tm 2.86, 3 Pu 2.96
Se 0.9961 0.7441 0.9923  1 Tm 2.84, 3 Pu 2.88-2.94, 2 Pm 2.93
Pu 0.5000 0.5000 0.0000  6 Se 2.88-2.96
Se 0.3307 0.9070 0.6615  2 Tm 2.87, 3 Pu 2.91-2.94, 1 Pm 2.96
Se 0.6693 0.0930 0.3385  2 Tm 2.87, 3 Pu 2.91-2.94, 1 Pm 2.96
Pm 0.5000 0.0000 0.0000  6 Se 2.93-2.96
Se 0.0039 0.2559 0.0077  1 Tm 2.84, 3 Pu 2.88-2.94, 2 Pm 2.93
Pu 0.8357 0.1649 0.6715  6 Se 2.91-2.96
Se 0.6696 0.5791 0.3392  3 Tm 2.86, 3 Pu 2.96

Results
DFT total energy, eV/atom: -8.115
Space group: No. 12
M_tot, μB/f.u.: 5.88
D(E_F), states/eV/atom: 2.26

***

Record 3
Here is a relaxed Pm2TmPuSe4 crystal from the Alexandria database. Energies are from PBE.

Unit cell a=4.1092 b=7.1621 c=7.2007 alpha=109.04 beta=90.00 gamma=90.00
Last column: nearest neighbours and their distance in Å.
Fractional positions:
Se 0.5000 0.7592 0.7625  2 Tm 2.86, 1 Pu 2.91, 3 Pm 2.95-2.99
Tm 0.0000 0.0000 0.0000  6 Se 2.86
Se 0.0000 0.2482 0.7589  1 Tm 2.86, 2 Pu 2.91, 3 Pm 2.95-2.99
Se 0.0000 0.7518 0.2411  1 Tm 2.86, 2 Pu 2.91, 3 Pm 2.95-2.99
Pm 0.0000 0.5000 0.5000  6 Se 2.99
Pm 0.5000 0.0000 0.5000  6 Se 2.95
Se 0.5000 0.2408 0.2375  2 Tm 2.86, 1 Pu 2.91, 3 Pm 2.95-2.99
Pu 0.5000 0.5000 0.0000  6 Se 2.91

Results
DFT total energy, eV/atom: -7.014
Space group: No. 10
M_tot, μB/f.u.: 5.83
D(E_F), states/eV/atom: 1.14

***

Record 4
Here is a relaxed Pm3TmPu2Se6 crystal from the Alexandria database. Energies are from PBE.

Unit cell a=4.1286 b=8.3347 c=9.2820 alpha=103.20 beta=102.85 gamma=90.00
Last column: nearest neighbours and their distance in Å.
Fractional positions:
Pu 0.1660 0.3337 0.3319  6 Se 2.91-2.93
Pu 0.8340 0.6663 0.6681  6 Se 2.91-2.93
Se 0.6682 0.5802 0.3364  3 Pu 2.91-2.92, 3 Pm 2.95-2.96
Se 0.6621 0.0842 0.3242  1 Tm 2.85, 2 Pu 2.92, 3 Pm 2.96-2.98
Pm 0.1686 0.8337 0.3371  6 Se 2.95-2.98
Pm 0.8314 0.1663 0.6629  6 Se 2.95-2.98
Se 0.0003 0.7609 0.0006  2 Tm 2.87, 1 Pu 2.93, 3 Pm 2.96-3.00
Se 0.9997 0.2391 0.9994  2 Tm 2.87, 1 Pu 2.93, 3 Pm 2.96-3.00
Se 0.3379 0.9158 0.6758  1 Tm 2.85, 2 Pu 2.92, 3 Pm 2.96-2.98
Pm 0.5000 0.5000 0.0000  6 Se 2.96-3.00
Se 0.3318 0.4198 0.6636  3 Pu 2.91-2.92, 3 Pm 2.95-2.96
Tm 0.5000 0.0000 0.0000  6 Se 2.85-2.87

Results
DFT total energy, eV/atom: -7.416
Space group: No. 12
M_tot, μB/f.u.: 11.59
D(E_F), states/eV/atom: 1.61

***

Record 5
Here is a relaxed PmPu2USe4 crystal from the Alexandria database. Energies are from PBE.

Unit cell a=4.0882 b=7.2592 c=7.1077 alpha=108.96 beta=90.00 gamma=90.00
Last column: nearest neighbours and their distance in Å.
Fractional positions:
Se 0.0000 0.7477 0.2508  3 Pu 2.91-2.93, 2 U 2.92, 1 Pm 2.94
Pu 0.0000 0.5000 0.5000  6 Se 2.90-2.91
Pu 0.5000 0.0000 0.5000  6 Se 2.93-2.94
Pm 0.0000 0.0000 0.0000  6 Se 2.94
U 0.5000 0.5000 0.0000  6 Se 2.90-2.92
Se 0.5000 0.7448 0.7481  3 Pu 2.90-2.94, 1 U 2.90, 2 Pm 2.94
Se 0.5000 0.2552 0.2519  3 Pu 2.90-2.94, 1 U 2.90, 2 Pm 2.94
Se 0.0000 0.2523 0.7492  3 Pu 2.91-2.93, 2 U 2.92, 1 Pm 2.94

Results
DFT total energy, eV/atom: -8.793
Space group: No. 10
M_tot, μB/f.u.: 2.77
D(E_F), states/eV/atom: 2.65

***

Record 6
Here is a relaxed Pm2Pu3USe6 crystal from the Alexandria database. Energies are from PBE.

Unit cell a=4.1192 b=8.3140 c=9.3123 alpha=102.93 beta=102.78 gamma=90.00
Last column: nearest neighbours and their distance in Å.
Fractional positions:
Se 0.3330 0.4137 0.6660  3 Pu 2.91-2.95, 3 Pm 2.95-2.98
Pu 0.1687 0.8337 0.3375  6 Se 2.90-2.94
Se 0.6670 0.5863 0.3340  3 Pu 2.91-2.95, 3 Pm 2.95-2.98
Se 0.9978 0.2476 0.9955  2 U 2.92, 3 Pu 2.93-2.94, 1 Pm 2.95
U 0.5000 0.0000 0.0000  6 Se 2.92-2.94
Pu 0.8313 0.1663 0.6625  6 Se 2.90-2.94
Pu 0.5000 0.5000 0.0000  6 Se 2.93-2.95
Se 0.6663 0.0787 0.3326  3 Pu 2.90-2.92, 1 U 2.94, 2 Pm 2.95
Pm 0.8355 0.6687 0.6710  6 Se 2.95-2.98
Se 0.0022 0.7524 0.0045  2 U 2.92, 3 Pu 2.93-2.94, 1 Pm 2.95
Se 0.3337 0.9213 0.6674  3 Pu 2.90-2.92, 1 U 2.94, 2 Pm 2.95
Pm 0.1645 0.3313 0.3290  6 Se 2.95-2.98

Results
DFT total energy, eV/atom: -8.595
Space group: No. 12
M_tot, μB/f.u.: 2.68
D(E_F), states/eV/atom: 2.67

***

Record 7
Here is a relaxed Pm3Y2PuSe6 crystal from the Alexandria database. Energies are from PBE.

Unit cell a=4.1249 b=8.3460 c=9.2901 alpha=103.22 beta=102.83 gamma=90.00
Last column: nearest neighbours and their distance in Å.
Fractional positions:
Se 0.3336 0.9105 0.6672  2 Y 2.88, 1 Pu 2.93, 3 Pm 2.96-2.97
Pm 0.8348 0.1653 0.6695  6 Se 2.94-2.99
Se 0.3299 0.4225 0.6598  3 Y 2.91-2.92, 3 Pm 2.99-3.00
Pm 0.5000 0.5000 0.0000  6 Se 2.95-3.00
Pm 0.1652 0.8347 0.3305  6 Se 2.94-2.99
Se 0.9982 0.7524 0.9963  1 Y 2.85, 2 Pu 2.91, 3 Pm 2.94-2.95
Y 0.1639 0.3284 0.3278  6 Se 2.85-2.92
Se 0.6664 0.0895 0.3328  2 Y 2.88, 1 Pu 2.93, 3 Pm 2.96-2.97
Se 0.6701 0.5775 0.3402  3 Y 2.91-2.92, 3 Pm 2.99-3.00
Pu 0.5000 0.0000 0.0000  6 Se 2.91-2.93
Y 0.8361 0.6716 0.6722  6 Se 2.85-2.92
Se 0.0018 0.2476 0.0037  1 Y 2.85, 2 Pu 2.91, 3 Pm 2.94-2.95

Results
DFT total energy, eV/atom: -6.982
Space group: No. 12
M_tot, μB/f.u.: 5.96
D(E_F), states/eV/atom: 0.79

***

Record 8
Here is a relaxed Pm3YPu2Se6 crystal from the Alexandria database. Energies are from PBE.

Unit cell a=7.1847 b=7.1847 c=7.2391 alpha=99.52 beta=99.52 gamma=120.02
Last column: nearest neighbours and their distance in Å.
Fractional positions:
Se 0.0808 0.4125 0.2428  1 Y 2.90, 2 Pu 2.92, 3 Pm 2.96-2.97
Se 0.9192 0.5875 0.7572  1 Y 2.90, 2 Pu 2.92, 3 Pm 2.96-2.97
Pm 0.1676 0.8324 0.5000  6 Se 2.96-2.97
Se 0.7502 0.7502 0.2449  1 Y 2.91, 2 Pu 2.92, 3 Pm 2.96-2.97
Se 0.2498 0.2498 0.7551  1 Y 2.91, 2 Pu 2.92, 3 Pm 2.96-2.97
Pu 0.6664 0.3336 0.0000  6 Se 2.92
Se 0.5875 0.9192 0.7572  1 Y 2.90, 2 Pu 2.92, 3 Pm 2.96-2.97
Pm 0.5000 0.5000 0.5000  6 Se 2.97
Y 0.0000 0.0000 0.0000  6 Se 2.90-2.91
Pu 0.3336 0.6664 0.0000  6 Se 2.92
Se 0.4125 0.0808 0.2428  1 Y 2.90, 2 Pu 2.92, 3 Pm 2.96-2.97
Pm 0.8324 0.1676 0.5000  6 Se 2.96-2.97

Results
DFT total energy, eV/atom: -7.599
Space group: No. 12
M_tot, μB/f.u.: 11.60
D(E_F), states/eV/atom: 1.60

***

Record 9
Here is a relaxed PmPuSi crystal from the Alexandria database. Energies are from PBE.

Unit cell a=4.9318 b=4.9318 c=4.9318 alpha=60.00 beta=60.00 gamma=60.00
Last column: nearest neighbours and their distance in Å.
Fractional positions:
Pm 0.5000 0.5000 0.5000  4 Si 3.02
Si 0.2500 0.2500 0.2500  4 Pm 3.02, 4 Pu 3.02
Pu 0.0000 0.0000 0.0000  4 Si 3.02

Results
DFT total energy, eV/atom: -8.352
Space group: No. 216
M_tot, μB/f.u.: 6.64
D(E_F), states/eV/atom: 2.60

***

Record 10
Here is a relaxed PmPuSi4 crystal from the Alexandria database. Energies are from PBE.

Unit cell a=5.3456 b=5.3456 c=5.3456 alpha=60.00 beta=60.00 gamma=60.00
Last column: nearest neighbours and their distance in Å.
Fractional positions:
Si 0.6263 0.1212 0.6263  6 Si 2.65-2.70
Si 0.6263 0.6263 0.1212  6 Si 2.65-2.70
Pm 0.2500 0.2500 0.2500  12 Si 3.14, 4 Pu 3.27
Si 0.6263 0.6263 0.6263  6 Si 2.65-2.70
Si 0.1212 0.6263 0.6263  6 Si 2.65-2.70
Pu 0.0000 0.0000 0.0000  12 Si 3.13, 4 Pm 3.27

Results
DFT total energy, eV/atom: -7.136
Space group: No. 216
M_tot, μB/f.u.: 6.53
D(E_F), states/eV/atom: 0.97

***

Record 11
Here is a relaxed PmPu2Si crystal from the Alexandria database. Energies are from PBE.

Unit cell a=4.8843 b=4.4197 c=4.4197 alpha=90.00 beta=90.00 gamma=90.00
Last column: nearest neighbours and their distance in Å.
Fractional positions:
Pu 0.0000 0.0000 0.5000  4 Pu 3.13, 4 Pm 3.29, 4 Si 3.29
Si 0.5000 0.5000 0.5000  4 Pm 3.13, 8 Pu 3.29
Pm 0.5000 0.0000 0.0000  4 Si 3.13, 8 Pu 3.29
Pu 0.0000 0.5000 0.0000  4 Pu 3.13, 4 Si 3.29, 4 Pm 3.29

Results
DFT total energy, eV/atom: -9.908
Space group: No. 123
M_tot, μB/f.u.: 11.57
D(E_F), states/eV/atom: 2.48

***

Record 12
Here is a relaxed PmPu2Si2 crystal from the Alexandria database. Energies are from PBE.

Unit cell a=3.5631 b=5.4446 c=11.8449 alpha=103.17 beta=90.00 gamma=90.00
Last column: nearest neighbours and their distance in Å.
Fractional positions:
Pm 0.2500 0.7555 0.2602  6 Si 2.98-3.32
Pu 0.2500 0.8982 0.9454  2 Pu 2.33
Pu 0.7500 0.1018 0.0546  2 Pu 2.33
Si 0.7500 0.6117 0.0541  2 Si 2.36
Pu 0.7500 0.6397 0.5092  2 Pu 2.32
Si 0.2500 0.3883 0.9459  2 Si 2.36
Pm 0.7500 0.2445 0.7398  6 Si 2.98-3.32
Si 0.7500 0.2822 0.2957  4 Pu 2.80-2.87
Pu 0.2500 0.3603 0.4908  2 Pu 2.32
Si 0.2500 0.7178 0.7043  4 Pu 2.80-2.87

Results
DFT total energy, eV/atom: -8.976
Space group: No. 11
M_tot, μB/f.u.: 0.01
D(E_F), states/eV/atom: 1.75